# 1
VASP calculation (PBE-GGA) on a geometry-optimized Ca3Al structure.

Unit cell a=6.581 b=6.581 c=6.581 alpha=116.64 beta=116.64 gamma=116.64
Atoms (fractional coordinates):
Ca 0.000 0.500 0.500
Ca 0.500 0.500 0.000
Ca 0.500 0.000 0.500
Al 0.000 0.000 0.000

# 2
VASP calculation (PBE-GGA) on a geometry-optimized CaAl5 structure.

Unit cell a=5.659 b=5.659 c=4.347 alpha=90.00 beta=90.00 gamma=120.00
Atoms (fractional coordinates):
Al 0.333 0.500 0.000
Al 0.833 0.500 0.000
Al 0.834 0.000 0.000
Al 0.000 0.333 0.500
Al 0.667 0.667 0.500
Ca 0.333 0.000 0.500

# 3
VASP calculation (PBE-GGA) on a geometry-optimized Ca3Al structure.

Unit cell a=3.803 b=3.803 c=11.331 alpha=90.00 beta=90.00 gamma=120.00
Atoms (fractional coordinates):
Ca 0.667 0.333 0.208
Ca 0.000 0.000 0.500
Ca 0.667 0.333 0.792
Al 0.000 0.000 0.000

# 4
VASP calculation (PBE-GGA) on a geometry-optimized Ca2Al3 structure.

Unit cell a=5.052 b=5.052 c=6.286 alpha=90.00 beta=90.00 gamma=120.00
Atoms (fractional coordinates):
Al 0.667 0.333 0.650
Al 0.333 0.667 0.350
Al 0.000 0.000 0.000
Ca 0.667 0.333 0.167
Ca 0.333 0.667 0.833

| no. | E_form (eV per formula unit) |
| --- | --- |
| 1 | 0.367 |
| 2 | -0.723 |
| 3 | 0.176 |
| 4 | 1.042 |